Compound: NdFe10Re2
Source: Alexandria
Functional: PBE-GGA
Structure: relaxed

a = 4.689 Å, b = 8.539 Å, c = 8.725 Å
α = 90.00°, β = 90.00°, γ = 90.00°
Space group Immm (No. 71)
Inequivalent atoms, fractional coordinates:
Nd 0.000 0.000 0.000 x2
Fe 0.000 0.276 0.500 x4
Fe 0.000 0.360 0.000 x4
Fe 0.000 0.500 0.265 x4
Fe 0.250 0.250 0.250 x8
Re 0.000 0.000 0.359 x4

**E_tot**: -8.79 eV per atom
**Energy of formation from the pure elements**: 0.01 eV/atom